Run A
Ce7Os2Au2: relaxed, PBE-GGA.

Properties
crystal system	orthorhombic
magnetic moment	4.0	μB per formula unit

a = 9.1675 Å, b = 9.1675 Å, c = 9.1675 Å
α = 155.75°, β = 71.24°, γ = 114.20°
Last column: nearest neighbours and their distance in Å.
Fractional positions:
1 Ce 0.0000 0.0000 0.0000  3 Au 3.15-3.53, 2 Os 3.27
2 Ce 0.0582 0.3646 0.6937  2 Os 2.78, 1 Au 3.10
3 Ce 0.0965 0.7343 0.3622  2 Os 2.82, 2 Au 3.06
4 Ce 0.3721 0.7343 0.6378  2 Os 2.82, 2 Au 3.06
5 Ce 0.4618 0.5935 0.8683  2 Os 3.00, 3 Au 3.09-3.16
6 Ce 0.6709 0.3646 0.3063  2 Os 2.78, 1 Au 3.10
7 Ce 0.7252 0.5935 0.1317  2 Os 3.00, 3 Au 3.09-3.16
8 Os 0.2781 0.0628 0.2153  6 Ce 2.78-3.00
9 Os 0.8475 0.0628 0.7847  6 Ce 2.78-3.00
10 Au 0.3539 0.3539 0.0000  6 Ce 3.06-3.09
11 Au 0.7500 0.2500 0.5000  8 Ce 3.10-3.16


Run B
Ce7Os2Au2: relaxed, PBE-GGA.

Properties
crystal system	orthorhombic
magnetic moment	4.2	μB per formula unit

a = 6.7926 Å, b = 6.7926 Å, c = 6.6808 Å
α = 90.00°, β = 90.00°, γ = 106.65°
Last column: nearest neighbours and their distance in Å.
Fractional positions:
1 Ce 0.0000 0.0000 0.0000  2 Os 3.17
2 Ce 0.0000 0.5000 0.2740  2 Os 2.77, 1 Ce 3.02
3 Ce 0.0000 0.5000 0.7260  2 Os 2.77, 1 Ce 3.02
4 Ce 0.5000 0.0000 0.2740  2 Os 2.77, 1 Ce 3.02
5 Ce 0.5000 0.0000 0.7260  2 Os 2.77, 1 Ce 3.02
6 Ce 0.5000 0.5000 0.2736  2 Os 2.92, 1 Ce 3.03, 2 Au 3.08
7 Ce 0.5000 0.5000 0.7264  2 Os 2.92, 1 Ce 3.03, 2 Au 3.08
8 Os 0.2911 0.7089 0.0000  6 Ce 2.77-2.92
9 Os 0.7089 0.2911 0.0000  6 Ce 2.77-2.92
10 Au 0.1688 0.1688 0.5000  1 Au 2.74
11 Au 0.8312 0.8312 0.5000  1 Au 2.74


Stability check: which of them is most stable? run A.


Run A
CeThOsAu: relaxed, PBE-GGA.

Properties
crystal system	cubic
magnetic moment	0.6	μB per formula unit

a = 5.0966 Å, b = 5.0966 Å, c = 5.0966 Å
α = 60.00°, β = 60.00°, γ = 60.00°
Last column: nearest neighbours and their distance in Å.
Fractional positions:
1 Ce 0.0000 0.0000 0.0000  4 Os 3.12, 4 Au 3.12
2 Th 0.5000 0.5000 0.5000  4 Os 3.12, 4 Au 3.12
3 Os 0.7500 0.7500 0.7500  4 Th 3.12, 4 Ce 3.12
4 Au 0.2500 0.2500 0.2500  4 Ce 3.12, 4 Th 3.12


Run B
CeThOsAu: relaxed, PBE-GGA.

Properties
crystal system	trigonal
magnetic moment	0.0	μB per formula unit

a = 7.5322 Å, b = 7.5322 Å, c = 7.5322 Å
α = 31.87°, β = 31.87°, γ = 31.87°
Last column: nearest neighbours and their distance in Å.
Fractional positions:
1 Ce 0.0000 0.0000 0.0000  3 Os 2.81, 3 Au 3.14
2 Th 0.1919 0.1919 0.1919  3 Os 2.85, 3 Au 3.16
3 Os 0.5976 0.5976 0.5976  3 Ce 2.81, 3 Th 2.85
4 Au 0.4286 0.4286 0.4286  3 Ce 3.14, 3 Th 3.16


Stability check: which of them is most stable? run B.


Run A
CePdAu4: relaxed, PBE-GGA.

Properties
crystal system	orthorhombic
magnetic moment	0.8	μB per formula unit

a = 6.9587 Å, b = 6.9587 Å, c = 7.8926 Å
α = 90.00°, β = 90.00°, γ = 136.95°
Last column: nearest neighbours and their distance in Å.
Fractional positions:
1 Ce 0.1273 0.8727 0.7500  5 Au 2.82-3.11, 1 Pd 2.84
2 Ce 0.8727 0.1273 0.2500  5 Au 2.82-3.11, 1 Pd 2.84
3 Pd 0.3467 0.6533 0.7500  6 Au 2.68-2.80, 1 Ce 2.84
4 Pd 0.6533 0.3467 0.2500  6 Au 2.68-2.80, 1 Ce 2.84
5 Au 0.0903 0.9097 0.2500  2 Pd 2.68, 1 Ce 2.82, 2 Au 2.87
6 Au 0.2850 0.7150 0.0759  1 Pd 2.69, 5 Au 2.75-2.96
7 Au 0.2850 0.7150 0.4241  1 Pd 2.69, 5 Au 2.75-2.96
8 Au 0.5000 0.5000 0.0000  2 Pd 2.80, 2 Au 2.85
9 Au 0.5000 0.5000 0.5000  2 Pd 2.80, 2 Au 2.85
10 Au 0.7150 0.2850 0.5759  1 Pd 2.69, 5 Au 2.75-2.96
11 Au 0.7150 0.2850 0.9241  1 Pd 2.69, 5 Au 2.75-2.96
12 Au 0.9097 0.0903 0.7500  2 Pd 2.68, 1 Ce 2.82, 2 Au 2.87


Run B
CePdAu4: relaxed, PBE-GGA.

Properties
crystal system	cubic
magnetic moment	1.1	μB per formula unit

a = 5.5423 Å, b = 5.5423 Å, c = 5.5423 Å
α = 60.00°, β = 60.00°, γ = 60.00°
Last column: nearest neighbours and their distance in Å.
Fractional positions:
1 Ce 0.0000 0.0000 0.0000  12 Au 3.25, 4 Pd 3.39
2 Pd 0.7500 0.7500 0.7500  12 Au 3.25, 4 Ce 3.39
3 Au 0.3755 0.3755 0.3755  6 Au 2.76-2.78
4 Au 0.3755 0.3755 0.8734  6 Au 2.76-2.78
5 Au 0.3755 0.8734 0.3755  6 Au 2.76-2.78
6 Au 0.8734 0.3755 0.3755  6 Au 2.76-2.78


Run C
CePdAu4: relaxed, PBE-GGA.

Properties
crystal system	monoclinic
magnetic moment	0.7	μB per formula unit

a = 8.9105 Å, b = 8.9105 Å, c = 4.9668 Å
α = 90.52°, β = 90.52°, γ = 143.11°
Last column: nearest neighbours and their distance in Å.
Fractional positions:
1 Ce 0.1213 0.8787 0.7500  2 Pd 2.82, 2 Au 3.12
2 Ce 0.8787 0.1213 0.2500  2 Pd 2.82, 2 Au 3.12
3 Pd 0.3710 0.6290 0.2500  2 Ce 2.82, 6 Au 3.09-3.13
4 Pd 0.6290 0.3710 0.7500  2 Ce 2.82, 6 Au 3.09-3.13
5 Au 0.0432 0.4604 0.7508  5 Au 2.80-2.86, 2 Pd 3.09-3.12
6 Au 0.2167 0.3004 0.7591  5 Au 2.73-2.91
7 Au 0.3004 0.2167 0.2591  5 Au 2.73-2.91
8 Au 0.4604 0.0432 0.2508  5 Au 2.80-2.86, 2 Pd 3.09-3.12
9 Au 0.5396 0.9568 0.7492  5 Au 2.80-2.86, 2 Pd 3.09-3.12
10 Au 0.6996 0.7833 0.7409  5 Au 2.73-2.91
11 Au 0.7833 0.6996 0.2409  5 Au 2.73-2.91
12 Au 0.9568 0.5396 0.2492  5 Au 2.80-2.86, 2 Pd 3.09-3.12


Stability check: which of them is most stable? run C.


Run A
CePd2Au: relaxed, PBE-GGA.

Properties
crystal system	tetragonal
magnetic moment	0.6	μB per formula unit

a = 5.1294 Å, b = 5.1294 Å, c = 5.1294 Å
α = 130.22°, β = 130.22°, γ = 73.05°
Last column: nearest neighbours and their distance in Å.
Fractional positions:
1 Ce 0.0000 0.0000 0.0000  8 Pd 2.98, 4 Au 3.05
2 Pd 0.2500 0.7500 0.5000  4 Ce 2.98, 4 Au 2.98, 4 Pd 3.05
3 Pd 0.7500 0.2500 0.5000  4 Ce 2.98, 4 Au 2.98, 4 Pd 3.05
4 Au 0.5000 0.5000 0.0000  8 Pd 2.98, 4 Ce 3.05


Run B
CePd2Au: relaxed, PBE-GGA.

Properties
crystal system	cubic
magnetic moment	0.6	μB per formula unit

a = 4.7940 Å, b = 4.7940 Å, c = 4.7940 Å
α = 60.00°, β = 60.00°, γ = 60.00°
Last column: nearest neighbours and their distance in Å.
Fractional positions:
1 Ce 0.0000 0.0000 0.0000  8 Pd 2.94
2 Pd 0.2500 0.2500 0.2500  4 Au 2.94, 4 Ce 2.94
3 Pd 0.7500 0.7500 0.7500  4 Au 2.94, 4 Ce 2.94
4 Au 0.5000 0.5000 0.5000  8 Pd 2.94


Stability check: which of them is most stable? run A.